Record 1
VASP calculation (GGA-PBE) on a relaxed FeIr2Br crystal.

a b c (Å): 5.3760 5.3760 5.3760
angles (deg): 149.16 128.42 61.31
Last column: nearest neighbours and their distance in Å.
Fractional positions:
Fe 0.7479 0.2479 0.5000  2 Br 2.72, 6 Ir 2.74, 2 Fe 2.86
Br 0.4979 0.4979 0.0000  6 Ir 2.68-2.74, 2 Fe 2.72, 2 Br 2.86
Ir 0.2533 0.7533 0.5000  2 Br 2.68, 4 Ir 2.74-2.86, 4 Fe 2.74
Ir 0.0009 0.0009 0.0000  4 Ir 2.74-2.86, 4 Br 2.74, 2 Fe 2.74

Computed properties:
Its total energy is -6.10 eV per atom. The energy relative to the elements, uncorrected comes out at 0.864 eV/atom. Its size of the total moment is 3.52 μB/f.u. Its distance to the lowest polymorph of the same formula is 366 meV/atom. As for the symmetry: Imm2, No. 44. Its density of states at the Fermi level is 1.227 states/eV per atom.

Record 2
VASP calculation (GGA-PBE) on a relaxed FeIr2Br crystal.

a b c (Å): 3.5432 2.8528 6.8622
angles (deg): 89.95 90.00 90.00
Last column: nearest neighbours and their distance in Å.
Fractional positions:
Ir 0.0000 0.0004 0.9972  4 Fe 2.61, 6 Ir 2.64-2.85
Br 0.0000 0.4986 0.5015  2 Fe 2.76, 2 Ir 2.77, 2 Br 2.85
Ir 0.5000 0.5000 0.1911  1 Fe 2.61, 6 Ir 2.64-2.85, 2 Br 2.77
Fe 0.5000 0.5011 0.8102  5 Ir 2.61, 2 Br 2.76, 2 Fe 2.85

Computed properties:
Its total energy is -6.47 eV per atom. The energy relative to the elements, uncorrected comes out at 0.498 eV/atom. Its size of the total moment is 2.86 μB/f.u. Its distance to the lowest polymorph of the same formula is 0 meV/atom. As for the symmetry: Pm, No. 6. Its density of states at the Fermi level is 1.299 states/eV per atom.

Record 3
VASP calculation (GGA-PBE) on a relaxed Fe3IrBr crystal.

a b c (Å): 4.3085 4.3085 4.3085
angles (deg): 90.00 90.00 90.00
Last column: nearest neighbours and their distance in Å.
Fractional positions:
Br 0.0000 0.0000 0.0000  6 Fe 2.15
Fe 0.5000 0.0000 0.0000  2 Br 2.15
Fe 0.0000 0.5000 0.0000  2 Br 2.15
Fe 0.0000 0.0000 0.5000  2 Br 2.15
Ir 0.5000 0.5000 0.5000  12 Fe 3.05

Computed properties:
Its total energy is -5.84 eV per atom. The energy relative to the elements, uncorrected comes out at 1.344 eV/atom. Its size of the total moment is 7.89 μB/f.u. Its distance to the lowest polymorph of the same formula is 234 meV/atom. As for the symmetry: Pm-3m, No. 221. Its density of states at the Fermi level is 0.715 states/eV per atom.

Record 4
VASP calculation (GGA-PBE) on a relaxed Fe2IrBr crystal.

a b c (Å): 5.0956 5.0956 5.0956
angles (deg): 136.67 136.67 62.95
Last column: nearest neighbours and their distance in Å.
Fractional positions:
Fe 0.2500 0.7500 0.5000  4 Br 2.66, 4 Fe 2.87, 4 Ir 2.87
Ir 0.5000 0.5000 0.0000  8 Fe 2.66-2.87, 4 Br 2.87
Fe 0.0000 0.0000 0.0000  4 Ir 2.66, 4 Fe 2.87, 4 Br 2.87
Br 0.7500 0.2500 0.5000  8 Fe 2.66-2.87, 4 Ir 2.87

Computed properties:
Its total energy is -6.04 eV per atom. The energy relative to the elements, uncorrected comes out at 0.821 eV/atom. Its size of the total moment is 7.16 μB/f.u. Its distance to the lowest polymorph of the same formula is 487 meV/atom. As for the symmetry: I-4m2, No. 119. Its density of states at the Fermi level is 1.254 states/eV per atom.